A plane-wave DFT calculation with GGA-PBE was carried out for ScNiBPd after structural relaxation.

V in Å³ per cell: 51.6
ΔE to the lowest computed polymorph in meV/atom: 24.8

a b c (Å): 4.1796 4.1796 4.1796
angles (deg): 60.00 60.00 60.00
Element x y z (fractional)
Sc 0.5000 0.5000 0.5000
Ni 0.7500 0.7500 0.7500
B 0.0000 0.0000 0.0000
Pd 0.2500 0.2500 0.2500